First-principles (PBE+U) data for an optimized crystal structure of Tl2CrP2O6, as listed in Alexandria.

Results
Theoretical density   6.331 g/cm³
E_tot   -6.4386 eV/atom

Cell lengths 6.527, 6.527, 6.527 Å; angles 52.55, 52.55, 52.55 degrees
Element x y z (fractional)
Tl 0.224 0.224 0.224
Tl 0.776 0.776 0.776
Cr 0.000 0.000 0.000
P 0.433 0.433 0.433
P 0.567 0.567 0.567
O 0.259 0.259 0.706
O 0.259 0.706 0.259
O 0.294 0.741 0.741
O 0.706 0.259 0.259
O 0.741 0.294 0.741
O 0.741 0.741 0.294